! Be2TeIrSe GGA-PBEsol relaxed; values from VASP
&SYSTEM
  ibrav = 0, nat = 5, ntyp = 4
/
ATOMIC_SPECIES
Be 9.01 Be.upf
Te 127.60 Te.upf
Ir 192.22 Ir.upf
Se 78.96 Se.upf
CELL_PARAMETERS angstrom
4.049 0.000 0.000
0.000 4.049 0.000
0.000 0.000 5.439
ATOMIC_POSITIONS angstrom
Be 0.000 2.025 0.000
Be 2.025 0.000 0.000
Te 0.000 0.000 2.720
Ir 2.025 2.025 2.720
Se 0.000 0.000 0.000
! Density (g/cm³): 7.76
! Uncorrected energy (eV/atom): -3.953
! Formation energy (no corrections) (meV/atom): 1087
! SG: No. 123

=====

! Mg2CrAu GGA-PBEsol relaxed; values from VASP
&SYSTEM
  ibrav = 0, nat = 4, ntyp = 3
/
ATOMIC_SPECIES
Mg 24.30 Mg.upf
Cr 52.00 Cr.upf
Au 196.97 Au.upf
CELL_PARAMETERS angstrom
4.139 0.000 0.000
0.000 4.139 0.000
0.000 0.000 4.003
ATOMIC_POSITIONS angstrom
Mg 0.000 2.069 0.000
Mg 2.069 0.000 0.000
Cr 0.000 0.000 2.002
Au 2.069 2.069 2.002
! Density (g/cm³): 7.21
! Calculated formation energy (meV per atom): -4.9
! Uncorrected energy (eV/atom): -4.405
! SG: No. 123

=====

! Tl2AsBr GGA-PBEsol relaxed; values from VASP
&SYSTEM
  ibrav = 0, nat = 4, ntyp = 3
/
ATOMIC_SPECIES
Tl 204.38 Tl.upf
As 74.92 As.upf
Br 79.90 Br.upf
CELL_PARAMETERS angstrom
3.598 0.000 0.000
0.000 4.544 0.000
-0.197 0.000 6.441
ATOMIC_POSITIONS angstrom
Tl 0.085 0.000 1.643
Tl 3.316 0.000 4.798
As 1.701 2.272 3.221
Br 1.799 2.272 0.000
! Density (g/cm³): 8.89
! Energy relative to the lowest polymorph listed for this composition (meV per atom): 118.0
! Uncorrected energy (eV/atom): -3.080
! Formation energy (no corrections) (meV/atom): -21
! SG: No. 10

=====

! CeZn GGA-PBEsol relaxed; values from VASP
&SYSTEM
  ibrav = 0, nat = 2, ntyp = 2
/
ATOMIC_SPECIES
Ce 140.12 Ce.upf
Zn 65.41 Zn.upf
CELL_PARAMETERS angstrom
3.534 0.000 0.000
0.000 3.534 0.000
0.000 0.000 3.534
ATOMIC_POSITIONS angstrom
Ce 0.000 0.000 0.000
Zn 1.767 1.767 1.767
! Density (g/cm³): 7.73
! Calculated formation energy (meV per atom): -106.6
! Uncorrected energy (eV/atom): -4.195
! SG: No. 221

=====

! NbTlMoAs2 GGA-PBEsol relaxed; values from VASP
&SYSTEM
  ibrav = 0, nat = 5, ntyp = 4
/
ATOMIC_SPECIES
Nb 92.91 Nb.upf
Tl 204.38 Tl.upf
Mo 95.94 Mo.upf
As 74.92 As.upf
CELL_PARAMETERS angstrom
4.755 0.000 0.000
0.000 4.755 0.000
0.000 0.000 5.272
ATOMIC_POSITIONS angstrom
Nb 0.000 0.000 0.000
Tl 2.377 2.377 0.000
Mo 2.377 2.377 2.636
As 0.000 2.377 2.636
As 2.377 0.000 2.636
! Density (g/cm³): 7.57
! Calculated formation energy (meV per atom): 1073.1
! Uncorrected energy (eV/atom): -6.013
! SG: No. 123

=====

! MgZrSi GGA-PBEsol relaxed; values from VASP
&SYSTEM
  ibrav = 0, nat = 3, ntyp = 3
/
ATOMIC_SPECIES
Mg 24.30 Mg.upf
Zr 91.22 Zr.upf
Si 28.09 Si.upf
CELL_PARAMETERS angstrom
0.000 3.117 3.117
3.117 0.000 3.117
3.117 3.117 0.000
ATOMIC_POSITIONS angstrom
Mg 0.000 0.000 0.000
Zr 3.117 3.117 3.117
Si 4.675 4.675 4.675
! Density (g/cm³): 3.94
! Uncorrected energy (eV/atom): -5.712
! Formation energy (no corrections) (meV/atom): -194
! SG: No. 216

=====

! NiSe3O GGA-PBEsol relaxed; values from VASP
&SYSTEM
  ibrav = 0, nat = 5, ntyp = 3
/
ATOMIC_SPECIES
Ni 58.69 Ni.upf
Se 78.96 Se.upf
O 16.00 O.upf
CELL_PARAMETERS angstrom
4.562 0.000 0.000
0.000 4.562 0.000
0.000 0.000 4.562
ATOMIC_POSITIONS angstrom
Ni 0.000 0.000 0.000
Se 0.000 0.000 2.281
Se 0.000 2.281 0.000
Se 2.281 0.000 0.000
O 2.281 2.281 2.281
! Density (g/cm³): 5.45
! Uncorrected energy (eV/atom): -3.775
! Formation energy (no corrections) (meV/atom): 816
! SG: No. 221

=====

! CaTeS3 GGA-PBEsol relaxed; values from VASP
&SYSTEM
  ibrav = 0, nat = 5, ntyp = 3
/
ATOMIC_SPECIES
Ca 40.08 Ca.upf
Te 127.60 Te.upf
S 32.06 S.upf
CELL_PARAMETERS angstrom
5.073 0.000 0.000
0.000 5.073 0.000
0.000 0.000 5.073
ATOMIC_POSITIONS angstrom
Ca 0.000 0.000 0.000
Te 2.537 2.537 2.537
S 0.000 0.000 2.537
S 0.000 2.537 0.000
S 2.537 0.000 0.000
! Density (g/cm³): 3.36
! Uncorrected energy (eV/atom): -3.474
! Formation energy (no corrections) (meV/atom): 288
! SG: No. 221

=====

! MgAg GGA-PBEsol relaxed; values from VASP
&SYSTEM
  ibrav = 0, nat = 2, ntyp = 2
/
ATOMIC_SPECIES
Mg 24.30 Mg.upf
Ag 107.87 Ag.upf
CELL_PARAMETERS angstrom
0.000 2.747 2.747
2.747 0.000 2.747
2.747 2.747 0.000
ATOMIC_POSITIONS angstrom
Mg 0.000 0.000 0.000
Ag 2.747 2.747 2.747
! Density (g/cm³): 5.29
! Calculated formation energy (meV per atom): 126.0
! Uncorrected energy (eV/atom): -2.388
! SG: No. 225

=====

! Mg2TlRu GGA-PBEsol relaxed; values from VASP
&SYSTEM
  ibrav = 0, nat = 4, ntyp = 3
/
ATOMIC_SPECIES
Mg 24.30 Mg.upf
Tl 204.38 Tl.upf
Ru 101.07 Ru.upf
CELL_PARAMETERS angstrom
4.148 0.000 0.000
0.000 4.148 0.000
0.000 0.000 4.074
ATOMIC_POSITIONS angstrom
Mg 0.000 2.074 0.000
Mg 2.074 0.000 0.000
Tl 0.000 0.000 2.037
Ru 2.074 2.074 2.037
! Density (g/cm³): 8.39
! Energy relative to the lowest polymorph listed for this composition (meV per atom): 45.5
! Calculated formation energy (meV per atom): 116.9
! Uncorrected energy (eV/atom): -3.942
! SG: No. 123

=====

! Tb6Cu23 GGA-PBEsol relaxed; values from VASP
&SYSTEM
  ibrav = 0, nat = 29, ntyp = 2
/
ATOMIC_SPECIES
Tb 158.93 Tb.upf
Cu 63.55 Cu.upf
CELL_PARAMETERS angstrom
0.000 5.973 5.973
5.973 0.000 5.973
5.973 5.973 0.000
ATOMIC_POSITIONS angstrom
Tb 5.973 5.973 2.551
Tb 5.973 2.551 5.973
Tb 9.395 5.973 5.973
Tb 2.551 5.973 5.973
Tb 5.973 9.395 5.973
Tb 5.973 5.973 9.395
Cu 2.987 2.987 0.000
Cu 2.987 0.000 2.987
Cu 5.973 2.987 2.987
Cu 7.433 4.513 4.513
Cu 2.082 2.082 2.082
Cu 3.891 3.891 2.082
Cu 3.891 2.082 3.891
Cu 4.513 4.513 4.513
Cu 7.433 7.433 4.513
Cu 7.433 4.513 7.433
Cu 2.082 3.891 3.891
Cu 0.000 2.987 2.987
Cu 2.987 5.973 2.987
Cu 2.987 2.987 5.973
Cu 5.973 5.973 5.973
Cu 9.864 8.055 8.055
Cu 4.513 7.433 4.513
Cu 4.513 4.513 7.433
Cu 7.433 7.433 7.433
Cu 8.055 9.864 8.055
Cu 8.055 8.055 9.864
Cu 9.864 9.864 9.864
Cu 4.513 7.433 7.433
! Density (g/cm³): 9.41
! Calculated formation energy (meV per atom): -182.3
! Uncorrected energy (eV/atom): -4.656
! SG: No. 225

=====

! Ti2InH2 GGA-PBEsol relaxed; values from VASP
&SYSTEM
  ibrav = 0, nat = 5, ntyp = 3
/
ATOMIC_SPECIES
Ti 47.87 Ti.upf
In 114.82 In.upf
H 1.01 H.upf
CELL_PARAMETERS angstrom
-1.753 1.753 4.603
1.753 -1.753 4.603
1.753 1.753 -4.603
ATOMIC_POSITIONS angstrom
Ti 0.000 0.000 1.583
Ti 0.000 0.000 7.622
In 0.000 0.000 4.603
H 1.753 0.000 2.301
H 0.000 1.753 2.301
! Density (g/cm³): 6.24
! Uncorrected energy (eV/atom): -5.677
! SG: No. 139

=====

Which value of uncorrected energy does entry 7 give?
-3.775 eV/atom

=====

Which formula does entry 10 have?
Mg2TlRu

=====

What is the formula in the tenth record?
Mg2TlRu